## Mg2CoSnO (PBE with a Hubbard U)

Data for crystalline Mg2CoSnO at its relaxed geometry.

Unit cell a=4.0791 b=4.0791 c=5.1341 alpha=90.00 beta=90.00 gamma=90.00
Last column: nearest neighbours and their distance in Å.
Positions (direct):
Mg (0.0000, 0.5000, 0.0000)  2 O 2.04
Mg (0.5000, 0.0000, 0.0000)  2 O 2.04
Co (0.0000, 0.0000, 0.5000)  4 Sn 2.88
Sn (0.5000, 0.5000, 0.5000)  2 O 2.57
O (0.5000, 0.5000, 0.0000)  4 Mg 2.04

Computed properties:
Offset from the most stable computed form (kJ per mole of atoms): 11.4
Space group: P4/mmm